(1)
CrP, relaxed, DFT PBE-GGA; M_tot = 0.00 μB/f.u.; raw total energy = -7.516 eV per atom; density of states at the Fermi level = 0.601 states/eV per atom; ΔE_f = 0.001 eV per atom; calculated volume = 51.4 Å³ per cell
1.0
1.9399 1.1200 3.9431
-1.9399 1.1200 3.9431
0.0000 -2.2400 3.9431
Cr P
2 2
Cartesian
0.0000 0.0000 2.2429
0.0000 0.0000 9.5865
0.0000 0.0000 4.6560
0.0000 0.0000 7.1734

---

(2)
Ti2NbCu, relaxed, DFT PBE-GGA; M_tot = 0.00 μB/f.u.; raw total energy = -7.082 eV per atom; density of states at the Fermi level = 0.876 states/eV per atom; E above lowest polymorph = 447 meV/atom; ΔE_f = 0.407 eV per atom; calculated volume = 135.0 Å³ per cell
1.0
-1.9047 1.9047 9.3035
1.9047 -1.9047 9.3035
1.9047 1.9047 -9.3035
Ti Nb Cu
4 2 2
Cartesian
2.8570 0.9467 -2.3259
0.9467 0.9523 2.3259
-0.9523 0.9580 6.9777
0.9580 0.9523 11.6294
0.0000 0.0000 0.0000
0.0000 1.9047 4.6518
1.9047 0.0000 4.6518
0.0000 0.0000 9.3035

---

(3)
Cu2TePt, relaxed, DFT PBE-GGA; M_tot = 0.00 μB/f.u.; raw total energy = -4.163 eV per atom; density of states at the Fermi level = 0.349 states/eV per atom; energy relative to the elements, uncorrected = 0.18 eV per atom; calculated volume = 140.4 Å³ per cell
1.0
-3.6091 3.6091 2.6939
3.6091 -3.6091 2.6939
3.6091 3.6091 -2.6939
Cu Te Pt
4 2 2
Cartesian
5.4136 1.7540 -0.6735
1.7540 1.8045 0.6735
-1.8045 1.8551 2.0204
1.8551 1.8045 3.3674
3.6091 0.0000 1.3469
0.0000 0.0000 2.6939
0.0000 0.0000 0.0000
0.0000 3.6091 1.3469